Entry from Alexandria: a crystal of LaAlSe2 relaxed with PBEsol (SCAN).

Output
* raw formation energy: -1.081 eV per atom
* VASP energy: -286.02 eV for the cell shown
* D(E_F): 2.22 states/eV per cell
* V: 403 Å³/cell
* E above lowest polymorph: 464 meV per atom

Cell: 4.274 4.274 25.478 Å, 90.00 90.00 120.00°
Fractional coordinates of all 12 atoms:
1 La 0.000 0.000 0.000
2 La 0.333 0.667 0.667
3 La 0.667 0.333 0.333
4 Al 0.000 0.000 0.500
5 Al 0.333 0.667 0.167
6 Al 0.667 0.333 0.833
7 Se 0.000 0.000 0.398
8 Se 0.000 0.000 0.602
9 Se 0.333 0.667 0.065
10 Se 0.333 0.667 0.269
11 Se 0.667 0.333 0.731
12 Se 0.667 0.333 0.935



Entry from Alexandria: a crystal of LaAlSe2 relaxed with PBEsol (SCAN).

Output
* raw formation energy: -1.545 eV per atom
* VASP energy: -97.19 eV for the cell shown
* V: 95 Å³/cell
* E above lowest polymorph: 0 meV per atom

Cell: 4.156 4.155 5.859 Å, 90.00 109.76 90.00°
Fractional coordinates of all 4 atoms:
1 La 0.000 0.000 0.000
2 Al 0.658 0.500 0.576
3 Se 0.280 0.000 0.575
4 Se 0.565 0.500 0.140